Sm4HoBi5: optimized geometry, PBE.

The structure in extended XYZ format:
```
10
Lattice="-5.075 5.075 3.211 5.075 -5.075 3.211 5.075 5.075 -3.211" Properties=species:S:1:pos:R:3 pbc="T T T"
Sm 7.100 0.999 0.000
Sm 0.999 3.051 0.000
Sm 4.076 2.025 3.211
Sm -2.025 4.076 3.211
Ho 0.000 0.000 3.211
Bi 0.000 0.000 0.000
Bi 4.067 2.067 0.000
Bi 3.009 -1.008 3.211
Bi 2.067 6.084 0.000
Bi 1.008 3.009 3.211
```

Computed properties:
The volume comes out at 330.9 Å³/f.u. As for the total energy: -51.92 eV per cell.